The following is a DFT calculation (PBE-GGA) of a relaxed MgPtCl crystal.

```
data_MgPtCl
_cell_length_a 3.1548
_cell_length_b 3.1548
_cell_length_c 6.8083
_cell_angle_alpha 90.00
_cell_angle_beta 90.00
_cell_angle_gamma 120.00
_symmetry_space_group_name_H-M 'P 3 m 1'
_symmetry_Int_Tables_number 156
loop_
_symmetry_equiv_pos_as_xyz
'x,y,z'
'-y,x-y,z'
'-x+y,-x,z'
'-y,-x,z'
'-x+y,y,z'
'x,x-y,z'
loop_
_atom_site_label
_atom_site_fract_x
_atom_site_fract_y
_atom_site_fract_z
Mg1 0.0000 0.0000 0.0000
Pt1 0.6667 0.3333 0.2863
Cl1 0.3333 0.6667 0.7652
```

The following is a DFT calculation (PBE-GGA) of a relaxed MgPtCl crystal.

```
data_MgPtCl
_cell_length_a 4.204
_cell_length_b 4.217
_cell_length_c 13.366
_cell_angle_alpha 90.00
_cell_angle_beta 90.00
_cell_angle_gamma 90.00
_symmetry_space_group_name_H-M 'F m m 2'
_symmetry_Int_Tables_number 42
_symmetry_space_group_name_Hall 'F 2 -2'
loop_
_atom_site_label
_atom_site_fract_x
_atom_site_fract_y
_atom_site_fract_z
Mg1 0.000 0.000 0.000
Pt1 0.000 0.000 0.363
Cl1 0.000 0.000 0.612
```

The following is a DFT calculation (PBE-GGA) of a relaxed MgPt2Cl crystal.

```
data_MgPt2Cl
_cell_length_a 9.211
_cell_length_b 2.962
_cell_length_c 7.000
_cell_angle_alpha 90.00
_cell_angle_beta 99.33
_cell_angle_gamma 90.00
_symmetry_space_group_name_H-M 'C 1 m 1'
_symmetry_Int_Tables_number 8
loop_
_symmetry_equiv_pos_as_xyz
'x,y,z'
'x,-y,z'
'x+1/2,y+1/2,z'
'x+1/2,-y+1/2,z'
loop_
_atom_site_label
_atom_site_fract_x
_atom_site_fract_y
_atom_site_fract_z
Mg1 0.000 0.000 0.000
Pt1 0.046 0.500 0.690
Pt2 0.283 0.000 0.752
Cl1 0.063 0.500 0.259
```

The following is a DFT calculation (PBE-GGA) of a relaxed MgPtCl crystal.

```
data_MgPtCl
_cell_length_a 3.738
_cell_length_b 3.738
_cell_length_c 10.415
_cell_angle_alpha 90.00
_cell_angle_beta 90.00
_cell_angle_gamma 90.00
_symmetry_space_group_name_H-M 'P -4 m 2'
_symmetry_Int_Tables_number 115
loop_
_symmetry_equiv_pos_as_xyz
'x,y,z'
'y,-x,-z'
'-x,-y,z'
'-y,x,-z'
'-x,y,z'
'-y,-x,-z'
'x,-y,z'
'y,x,-z'
loop_
_atom_site_label
_atom_site_fract_x
_atom_site_fract_y
_atom_site_fract_z
Mg1 0.000 0.000 0.200
Pt1 0.000 0.500 0.991
Cl1 0.000 0.500 0.342
```

The following is a DFT calculation (PBE-GGA) of a relaxed MgPtCl crystal.

```
data_MgPtCl
_cell_length_a 3.295
_cell_length_b 4.865
_cell_length_c 10.663
_cell_angle_alpha 102.73
_cell_angle_beta 90.55
_cell_angle_gamma 109.58
_symmetry_space_group_name_H-M 'P -1'
_symmetry_Int_Tables_number 2
loop_
_symmetry_equiv_pos_as_xyz
'x,y,z'
'-x,-y,-z'
loop_
_atom_site_label
_atom_site_fract_x
_atom_site_fract_y
_atom_site_fract_z
Mg1 0.051 0.092 0.185
Pt1 0.357 0.718 0.999
Cl1 0.400 0.820 0.655
```

The following is a DFT calculation (PBE-GGA) of a relaxed MgPt2Cl crystal.

```
data_MgPt2Cl
_cell_length_a 3.696
_cell_length_b 3.696
_cell_length_c 10.837
_cell_angle_alpha 90.00
_cell_angle_beta 90.00
_cell_angle_gamma 90.00
_symmetry_space_group_name_H-M 'I 4/m m m'
_symmetry_Int_Tables_number 139
_symmetry_space_group_name_Hall '-I 4 2'
loop_
_atom_site_label
_atom_site_fract_x
_atom_site_fract_y
_atom_site_fract_z
Mg1 0.000 0.000 0.000
Pt1 0.000 0.500 0.250
Cl1 0.000 0.000 0.500
```

The following is a DFT calculation (PBE-GGA) of a relaxed MgPt2Cl crystal.

```
data_MgPt2Cl
_cell_length_a 2.897
_cell_length_b 4.432
_cell_length_c 10.930
_cell_angle_alpha 90.00
_cell_angle_beta 90.00
_cell_angle_gamma 90.00
_symmetry_space_group_name_H-M 'I m m m'
_symmetry_Int_Tables_number 71
_symmetry_space_group_name_Hall '-I 2 2'
loop_
_atom_site_label
_atom_site_fract_x
_atom_site_fract_y
_atom_site_fract_z
Mg1 0.000 0.000 0.000
Pt1 0.000 0.500 0.271
Cl1 0.000 0.000 0.500
```

The following is a DFT calculation (PBE-GGA) of a relaxed MgPt2Cl crystal.

```
data_MgPt2Cl
_cell_length_a 2.972
_cell_length_b 4.932
_cell_length_c 9.238
_cell_angle_alpha 90.00
_cell_angle_beta 90.00
_cell_angle_gamma 90.00
_symmetry_space_group_name_H-M 'I m m 2'
_symmetry_Int_Tables_number 44
loop_
_symmetry_equiv_pos_as_xyz
'x,y,z'
'-x,-y,z'
'-x,y,z'
'x,-y,z'
'x+1/2,y+1/2,z+1/2'
'-x+1/2,-y+1/2,z+1/2'
'-x+1/2,y+1/2,z+1/2'
'x+1/2,-y+1/2,z+1/2'
loop_
_atom_site_label
_atom_site_fract_x
_atom_site_fract_y
_atom_site_fract_z
Mg1 0.000 0.000 0.000
Pt1 0.000 0.000 0.508
Pt2 0.000 0.500 0.746
Cl1 0.000 0.500 0.283
```

| no. | formation energy without anion corrections (meV/atom) |
| --- | --- |
| 1 | -716 |
| 2 | -634 |
| 3 | -429 |
| 4 | -1001 |
| 5 | -961 |
| 6 | -204 |
| 7 | -398 |
| 8 | -30 |